No. 1
Density functional theory data (PBE) for a relaxed structure of Pr2Sm3Sc.

POSCAR file:
```
Pr2Sm3Sc
1.0
-1.642 1.852 -2.318
-0.034 -5.277 -4.193
-15.387 -5.235 6.716
Sm Pr Sc
6 4 2
Direct
0.000 0.255 0.676
0.500 0.500 0.500
0.500 0.245 0.176
0.000 0.745 0.324
0.000 0.000 0.000
0.500 0.755 0.824
0.000 0.751 0.649
0.500 0.251 0.851
0.500 0.749 0.149
0.000 0.249 0.351
0.500 0.500 0.000
0.000 0.000 0.500
```

Values from the calculation:
volume	33.49	A^3/atom
spin magnetization	0.000	Bohr magnetons per cell
DFT formation energy	0.2612	eV/atom
energy above the lowest structure with this stoichiometry	223.4	meV per atom

=====

No. 2
Density functional theory data (PBE) for a relaxed structure of Pr8Sm3Sc.

POSCAR file:
```
Pr8Sm3Sc
1.0
-6.173 -5.451 -2.305
3.056 -0.517 7.971
-2.019 8.274 0.772
Sc Pr Sm
1 8 3
Direct
0.000 0.000 0.000
0.252 0.370 0.370
0.000 0.257 0.776
0.000 0.882 0.630
0.748 0.118 0.118
0.481 0.224 0.224
0.000 0.776 0.257
0.000 0.630 0.882
0.519 0.743 0.743
0.500 0.750 0.250
0.000 0.500 0.500
0.500 0.250 0.750
```

Values from the calculation:
volume	37.85	A^3/atom
spin magnetization	0.002	Bohr magnetons per cell
DFT formation energy	0.5189	eV/atom

=====

No. 3
Density functional theory data (PBE) for a relaxed structure of Pr5Sm5Sc.

POSCAR file:
```
Pr5Sm5Sc
1.0
-0.293 0.095 6.074
-2.302 -9.313 -3.011
6.999 0.830 0.324
Pr Sm Sc
5 5 1
Direct
0.173 0.345 0.930
0.173 0.345 0.416
0.827 0.655 0.070
0.827 0.655 0.584
0.500 0.000 0.000
0.375 0.750 0.374
0.330 0.659 0.829
0.670 0.341 0.171
0.000 0.000 0.500
0.625 0.250 0.626
0.000 0.000 0.000
```

Values from the calculation:
volume	34.78	A^3/atom
spin magnetization	0.537	Bohr magnetons per cell
DFT formation energy	0.2406	eV/atom

=====

No. 4
Density functional theory data (PBE) for a relaxed structure of Pr2Sm5Sc2.

POSCAR file:
```
Pr2Sm5Sc2
1.0
-4.193 -5.948 -8.899
-3.856 -3.408 4.094
-1.628 10.000 1.508
Sc Pr Sm
4 4 10
Direct
0.569 0.085 0.188
0.881 0.397 0.812
0.119 0.585 0.188
0.431 0.897 0.812
0.770 0.852 0.500
0.000 0.993 0.000
0.500 0.493 0.000
0.230 0.352 0.500
0.566 0.188 0.705
0.639 0.688 0.705
0.361 0.983 0.295
0.206 0.688 0.880
0.173 0.188 0.880
0.827 0.308 0.120
0.794 0.808 0.120
0.909 0.343 0.500
0.091 0.843 0.500
0.434 0.483 0.295
```

Values from the calculation:
volume	32.83	A^3/atom
spin magnetization	0.000	Bohr magnetons per cell
DFT formation energy	0.2467	eV/atom
energy above the lowest structure with this stoichiometry	203.6	meV per atom

=====

No. 5
Density functional theory data (PBE) for a relaxed structure of Pr5Sm12Sc2.

POSCAR file:
```
Pr5Sm12Sc2
1.0
7.957 0.000 0.000
-3.979 8.589 3.374
0.000 0.119 9.503
Sc Sm Pr
2 12 5
Direct
0.329 0.000 0.000
0.671 0.000 0.000
0.925 0.295 0.128
0.482 0.963 0.680
0.034 0.068 0.822
0.603 0.697 0.478
0.906 0.303 0.522
0.630 0.705 0.872
0.966 0.932 0.178
0.075 0.705 0.872
0.397 0.303 0.522
0.094 0.697 0.478
0.518 0.037 0.320
0.370 0.295 0.128
0.778 0.556 0.221
0.000 0.000 0.500
0.692 0.383 0.802
0.308 0.617 0.198
0.222 0.444 0.779
```

Values from the calculation:
volume	34.01	A^3/atom
spin magnetization	0.000	Bohr magnetons per cell
DFT formation energy	0.1791	eV/atom

=====

No. 6
Density functional theory data (PBE) for a relaxed structure of Pr3Sm6Sc2.

POSCAR file:
```
Pr3Sm6Sc2
1.0
-1.430 4.816 2.907
1.062 -0.193 6.637
8.150 8.516 1.479
Sm Pr Sc
6 3 2
Direct
0.531 0.301 0.318
0.168 0.301 0.682
0.832 0.699 0.318
0.284 0.000 0.215
0.469 0.699 0.682
0.716 0.000 0.785
0.000 0.000 0.000
0.705 0.591 0.000
0.295 0.409 0.000
0.873 0.254 0.500
0.127 0.746 0.500
```

Values from the calculation:
volume	33.18	A^3/atom
spin magnetization	0.000	Bohr magnetons per cell
DFT formation energy	0.1435	eV/atom

=====

No. 7
Density functional theory data (PBE) for a relaxed structure of Pr6Sm4Sc.

POSCAR file:
```
Pr6Sm4Sc
1.0
8.803 0.000 0.000
0.000 8.803 0.000
0.000 0.000 9.681
Sm Pr Sc
8 12 2
Direct
0.352 0.148 0.250
0.148 0.648 0.750
0.852 0.352 0.250
0.352 0.148 0.750
0.648 0.852 0.250
0.648 0.852 0.750
0.852 0.352 0.750
0.148 0.648 0.250
0.343 0.853 0.500
0.843 0.647 0.000
0.000 0.000 0.830
0.500 0.500 0.330
0.500 0.500 0.670
0.853 0.657 0.500
0.647 0.157 0.000
0.147 0.343 0.500
0.000 0.000 0.170
0.657 0.147 0.500
0.353 0.843 0.000
0.157 0.353 0.000
0.000 0.000 0.500
0.500 0.500 0.000
```

Values from the calculation:
volume	34.10	A^3/atom
spin magnetization	0.001	Bohr magnetons per cell
DFT formation energy	0.1072	eV/atom

=====

No. 8
Density functional theory data (PBE) for a relaxed structure of Pr12Sm3Sc.

POSCAR file:
```
Pr12Sm3Sc
1.0
5.192 0.000 0.000
0.000 5.192 0.000
0.000 0.000 20.740
Sm Pr Sc
3 12 1
Direct
0.000 0.000 0.500
0.000 0.000 0.753
0.000 0.000 0.247
0.500 0.000 0.120
0.500 0.000 0.880
0.000 0.500 0.880
0.500 0.500 0.500
0.000 0.500 0.373
0.000 0.500 0.627
0.000 0.500 0.120
0.500 0.500 0.247
0.500 0.000 0.627
0.500 0.000 0.373
0.500 0.500 0.753
0.500 0.500 0.000
0.000 0.000 0.000
```

Values from the calculation:
volume	34.95	A^3/atom
spin magnetization	0.000	Bohr magnetons per cell
DFT formation energy	0.0200	eV/atom

=====

No. 9
Density functional theory data (PBE) for a relaxed structure of Pr8Sm2Sc.

POSCAR file:
```
Pr8Sm2Sc
1.0
-3.890 3.758 -2.118
-3.359 -5.918 -4.331
-1.451 -0.635 9.503
Sc Pr Sm
1 8 2
Direct
0.500 0.000 0.000
0.000 0.720 0.000
0.000 0.280 0.000
0.630 0.421 0.260
0.833 0.833 0.667
0.630 0.839 0.260
0.167 0.167 0.333
0.370 0.161 0.740
0.370 0.579 0.740
0.800 0.300 0.600
0.200 0.700 0.400
```

Values from the calculation:
volume	35.16	A^3/atom
spin magnetization	0.000	Bohr magnetons per cell
DFT formation energy	0.1110	eV/atom
energy above the lowest structure with this stoichiometry	0.0	meV per atom

=====

No. 10
Density functional theory data (PBE) for a relaxed structure of Pr2SmSc.

POSCAR file:
```
Pr2SmSc
1.0
-5.573 -0.583 -0.984
-1.804 -3.276 -4.287
-2.579 -4.952 1.094
Pr Sc Sm
2 1 1
Direct
0.250 0.250 0.250
0.750 0.750 0.750
0.500 0.500 0.500
0.000 0.000 0.000
```

Values from the calculation:
volume	32.55	A^3/atom
spin magnetization	0.000	Bohr magnetons per cell
DFT formation energy	0.1195	eV/atom
energy above the lowest structure with this stoichiometry	80.6	meV per atom

=====

No. 11
Density functional theory data (PBE) for a relaxed structure of Pr7Sm12Sc.

POSCAR file:
```
Pr7Sm12Sc
1.0
9.432 0.000 -3.335
-4.716 8.168 -3.335
0.000 0.000 10.004
Sm Pr Sc
12 7 1
Direct
0.243 0.758 0.001
0.757 0.242 0.999
0.515 0.757 0.758
0.485 0.243 0.242
0.758 0.515 0.757
0.001 0.243 0.758
0.243 0.242 0.485
0.242 0.485 0.243
0.999 0.757 0.242
0.757 0.758 0.515
0.758 0.001 0.243
0.242 0.999 0.757
0.000 0.500 0.000
0.500 0.000 0.500
0.500 0.500 0.000
0.000 0.000 0.500
0.500 0.000 0.000
0.000 0.500 0.500
0.500 0.500 0.500
0.000 0.000 0.000
```

Values from the calculation:
volume	38.53	A^3/atom
spin magnetization	0.006	Bohr magnetons per cell
DFT formation energy	0.6281	eV/atom
energy above the lowest structure with this stoichiometry	395.7	meV per atom

=====

No. 12
Density functional theory data (PBE) for a relaxed structure of Pr5Sm2Sc.

POSCAR file:
```
Pr5Sm2Sc
1.0
-1.831 1.778 -2.606
7.092 -2.682 -6.814
-7.306 -4.755 1.893
Pr Sm Sc
5 2 1
Direct
0.000 0.500 0.000
0.500 0.363 0.245
0.500 0.119 0.755
0.500 0.881 0.245
0.500 0.637 0.755
0.000 0.251 0.501
0.000 0.749 0.499
0.000 0.000 0.000
```

Values from the calculation:
volume	34.02	A^3/atom
spin magnetization	0.000	Bohr magnetons per cell
DFT formation energy	0.0325	eV/atom

=====

No. 13
Density functional theory data (PBE) for a relaxed structure of Pr12Sm6Sc.

POSCAR file:
```
Pr12Sm6Sc
1.0
8.697 0.683 0.818
-0.644 8.700 0.818
-0.644 -0.750 8.706
Pr Sm Sc
12 6 1
Direct
0.982 0.813 0.640
0.360 0.018 0.187
0.436 0.783 0.535
0.640 0.982 0.813
0.465 0.564 0.217
0.535 0.436 0.783
0.813 0.640 0.982
0.187 0.360 0.018
0.564 0.217 0.465
0.783 0.535 0.436
0.217 0.465 0.564
0.018 0.187 0.360
0.260 0.097 0.707
0.903 0.293 0.740
0.740 0.903 0.293
0.707 0.260 0.097
0.097 0.707 0.260
0.293 0.740 0.903
0.000 0.000 0.000
```

Values from the calculation:
volume	35.40	A^3/atom
spin magnetization	0.000	Bohr magnetons per cell
DFT formation energy	0.1272	eV/atom

=====

No. 14
Density functional theory data (PBE) for a relaxed structure of Pr4SmSc2.

POSCAR file:
```
Pr4SmSc2
1.0
-3.413 -5.872 -4.022
5.934 4.938 1.646
1.279 -9.484 15.977
Sc Sm Pr
4 2 8
Direct
0.429 0.571 0.750
0.773 0.227 0.750
0.571 0.429 0.250
0.227 0.773 0.250
0.098 0.902 0.750
0.902 0.098 0.250
0.269 0.397 0.915
0.016 0.674 0.924
0.603 0.731 0.585
0.674 0.016 0.424
0.326 0.984 0.576
0.731 0.603 0.085
0.397 0.269 0.415
0.984 0.326 0.076
```

Values from the calculation:
volume	33.83	A^3/atom
spin magnetization	0.000	Bohr magnetons per cell
DFT formation energy	0.2345	eV/atom
energy above the lowest structure with this stoichiometry	0.0	meV per atom

=====

No. 15
Density functional theory data (PBE) for a relaxed structure of PrSm3Sc6.

POSCAR file:
```
PrSm3Sc6
1.0
6.148 0.000 0.000
0.000 9.852 -0.331
0.000 -2.521 9.529
Sm Sc Pr
6 12 2
Direct
0.992 0.122 0.281
0.524 0.595 0.405
0.024 0.405 0.595
0.492 0.878 0.719
0.992 0.719 0.878
0.492 0.281 0.122
0.650 0.245 0.755
0.521 0.548 0.733
0.021 0.733 0.548
0.021 0.452 0.267
0.858 0.052 0.948
0.150 0.755 0.245
0.367 0.983 0.457
0.867 0.017 0.543
0.367 0.543 0.017
0.358 0.948 0.052
0.521 0.267 0.452
0.867 0.457 0.983
0.692 0.799 0.201
0.192 0.201 0.799
```

Values from the calculation:
volume	28.60	A^3/atom
spin magnetization	0.002	Bohr magnetons per cell
DFT formation energy	0.1816	eV/atom

=====

No. 16
Density functional theory data (PBE) for a relaxed structure of PrSm4Sc2.

POSCAR file:
```
PrSm4Sc2
1.0
8.612 0.000 -0.590
0.000 6.504 0.000
-3.893 0.000 8.182
Sm Sc Pr
8 4 2
Direct
0.368 0.498 0.766
0.063 0.750 0.409
0.024 0.250 0.264
0.368 0.002 0.766
0.632 0.502 0.234
0.976 0.750 0.736
0.632 0.998 0.234
0.937 0.250 0.591
0.448 0.250 0.443
0.791 0.750 0.988
0.209 0.250 0.012
0.552 0.750 0.557
0.237 0.750 0.157
0.763 0.250 0.843
```

Values from the calculation:
volume	31.67	A^3/atom
spin magnetization	0.000	Bohr magnetons per cell
DFT formation energy	0.1790	eV/atom
energy above the lowest structure with this stoichiometry	0.0	meV per atom

=====

No. 17
Density functional theory data (PBE) for a relaxed structure of PrSm9Sc2.

POSCAR file:
```
PrSm9Sc2
1.0
5.055 0.000 0.000
0.000 5.055 0.000
0.000 0.000 15.164
Sm Sc Pr
9 2 1
Direct
0.500 0.500 0.662
0.500 0.000 0.826
0.500 0.500 0.000
0.000 0.500 0.500
0.500 0.000 0.500
0.500 0.500 0.338
0.000 0.500 0.174
0.000 0.500 0.826
0.500 0.000 0.174
0.000 0.000 0.663
0.000 0.000 0.337
0.000 0.000 0.000
```

Values from the calculation:
volume	32.29	A^3/atom
spin magnetization	0.000	Bohr magnetons per cell
DFT formation energy	0.0378	eV/atom

=====

No. 18
Density functional theory data (PBE) for a relaxed structure of PrSm8Sc2.

POSCAR file:
```
PrSm8Sc2
1.0
5.665 1.604 0.000
2.610 8.605 0.000
1.305 4.303 8.066
Pr Sm Sc
1 8 2
Direct
0.500 0.000 0.000
0.174 0.902 0.759
0.826 0.098 0.241
0.500 0.791 0.417
0.500 0.209 0.583
0.707 0.576 0.000
0.826 0.339 0.759
0.174 0.661 0.241
0.293 0.424 0.000
0.000 0.690 0.620
0.000 0.310 0.380
```

Values from the calculation:
volume	32.67	A^3/atom
spin magnetization	0.000	Bohr magnetons per cell
DFT formation energy	0.1597	eV/atom
energy above the lowest structure with this stoichiometry	35.9	meV per atom

=====

No. 19
Density functional theory data (PBE) for a relaxed structure of Pr2Sm7Sc2.

POSCAR file:
```
Pr2Sm7Sc2
1.0
9.258 -3.464 -1.019
-3.614 6.651 3.214
-2.094 3.464 9.076
Sm Sc Pr
7 2 2
Direct
0.487 0.225 0.084
0.000 0.000 0.000
0.418 0.657 0.582
0.084 0.775 0.487
0.916 0.225 0.513
0.582 0.343 0.418
0.513 0.775 0.916
0.289 0.500 0.289
0.711 0.500 0.711
0.200 0.918 0.800
0.800 0.082 0.200
```

Values from the calculation:
volume	33.10	A^3/atom
spin magnetization	0.000	Bohr magnetons per cell
DFT formation energy	0.1427	eV/atom
energy above the lowest structure with this stoichiometry	0.0	meV per atom

=====

| no. | total energy (eV/cell) |
| --- | --- |
| 1 | -56.96 |
| 2 | -52.50 |
| 3 | -51.18 |
| 4 | -87.20 |
| 5 | -89.79 |
| 6 | -53.74 |
| 7 | -105.41 |
| 8 | -77.52 |
| 9 | -52.78 |
| 10 | -20.13 |
| 11 | -83.86 |
| 12 | -39.41 |
| 13 | -89.58 |
| 14 | -69.72 |
| 15 | -110.22 |
| 16 | -70.13 |
| 17 | -59.46 |
| 18 | -53.44 |
| 19 | -53.69 |